No. 1
# CrTe2Se

Crystalline CrTe2Se at its relaxed geometry (PBE-GGA, the Alexandria database).

Output
The value obtained for the uncorrected formation energy is -63 meV per atom. As for the space-group type: No. 8.

Unit cell a=6.2731 b=6.2731 c=5.6795 alpha=105.59 beta=105.59 gamma=31.83
Closest atoms and distances in Å follow each position.
Positions (direct):
Cr1 0.0000 0.0000 0.0000  2 Se 2.45, 2 Te 2.72
Te1 0.3509 0.3509 0.6827  2 Cr 2.76, 1 Te 3.02
Te2 0.5213 0.5213 0.3805  2 Cr 2.72, 1 Se 2.86, 1 Te 3.02
Se1 0.6476 0.6476 0.0238  2 Cr 2.45

---

No. 2
# CrTeSe2

Crystalline CrTeSe2 at its relaxed geometry (PBE-GGA, the Alexandria database).

Output
The value obtained for the uncorrected formation energy is -118 meV per atom. As for the space-group type: No. 8.

Unit cell a=4.9361 b=4.9361 c=5.8561 alpha=101.75 beta=101.75 gamma=41.69
Closest atoms and distances in Å follow each position.
Positions (direct):
Cr1 0.0000 0.0000 0.0000  5 Se 2.53-2.68, 2 Te 2.78
Te1 0.3632 0.3632 0.6518  2 Cr 2.78, 1 Se 2.83
Se1 0.5431 0.5431 0.3177  2 Cr 2.53, 1 Se 2.70, 1 Te 2.83
Se2 0.7076 0.7076 0.9895  3 Cr 2.61-2.68, 1 Se 2.70

---

No. 3
# CrTeSe

Crystalline CrTeSe at its relaxed geometry (PBE-GGA, the Alexandria database).

Output
The value obtained for the uncorrected formation energy is -337 meV per atom. As for the space-group type: No. 156.

Unit cell a=3.6362 b=3.6362 c=6.2383 alpha=90.00 beta=90.00 gamma=120.00
Closest atoms and distances in Å follow each position.
Positions (direct):
Cr1 0.0000 0.0000 0.0000  3 Se 2.47, 3 Te 2.73
Te1 0.3333 0.6667 0.7197  3 Cr 2.73
Se1 0.6667 0.3333 0.2089  3 Cr 2.47

---

No. 4
# CrTe2Se

Crystalline CrTe2Se at its relaxed geometry (PBE-GGA, the Alexandria database).

Output
The value obtained for the uncorrected formation energy is 137 meV per atom. As for the space-group type: No. 166.

Unit cell a=7.7103 b=7.7103 c=7.7103 alpha=29.56 beta=29.56 gamma=29.56
Closest atoms and distances in Å follow each position.
Positions (direct):
Cr1 0.0000 0.0000 0.0000  6 Te 2.75
Te1 0.2633 0.2633 0.2633  3 Cr 2.75
Te2 0.7367 0.7367 0.7367  3 Cr 2.75
Se1 0.5000 0.5000 0.5000  6 Te 3.12

---

No. 5
# CrTe2Se

Crystalline CrTe2Se at its relaxed geometry (PBE-GGA, the Alexandria database).

Output
The value obtained for the uncorrected formation energy is 482 meV per atom. As for the space-group type: No. 216.

Unit cell a=5.0989 b=5.0989 c=5.0989 alpha=60.00 beta=60.00 gamma=60.00
Closest atoms and distances in Å follow each position.
Positions (direct):
Cr1 0.0000 0.0000 0.0000  4 Te 3.12, 4 Se 3.12
Te1 0.5000 0.5000 0.5000  4 Se 3.12, 4 Te 3.12
Te2 0.7500 0.7500 0.7500  4 Cr 3.12, 4 Te 3.12
Se1 0.2500 0.2500 0.2500  4 Cr 3.12, 4 Te 3.12

---

No. 6
# CrTeSe

Crystalline CrTeSe at its relaxed geometry (PBE-GGA, the Alexandria database).

Output
The value obtained for the uncorrected formation energy is -298 meV per atom. As for the space-group type: No. 31.

Unit cell a=11.4888 b=5.4497 c=6.3666 alpha=90.00 beta=90.00 gamma=90.00
Closest atoms and distances in Å follow each position.
Positions (direct):
Cr1 0.0000 0.2440 0.0000  3 Se 2.53-2.55, 3 Te 2.67
Cr2 0.1664 0.7354 0.5309  3 Se 2.53-2.54, 3 Te 2.65-2.67
Cr3 0.3336 0.2646 0.0309  3 Se 2.53-2.54, 3 Te 2.65-2.67
Cr4 0.5000 0.7560 0.5000  3 Se 2.53-2.55, 3 Te 2.67
Cr5 0.6664 0.2646 0.0309  3 Se 2.53-2.54, 3 Te 2.65-2.67
Cr6 0.8336 0.7354 0.5309  3 Se 2.53-2.54, 3 Te 2.65-2.67
Te1 0.0000 0.4454 0.3823  3 Cr 2.65-2.67
Te2 0.1675 0.9578 0.1563  3 Cr 2.66-2.67
Te3 0.3325 0.0422 0.6563  3 Cr 2.66-2.67
Te4 0.5000 0.5546 0.8823  3 Cr 2.65-2.67
Te5 0.6675 0.0422 0.6563  3 Cr 2.66-2.67
Te6 0.8325 0.9578 0.1563  3 Cr 2.66-2.67
Se1 0.0000 0.9999 0.6586  3 Cr 2.53-2.55
Se2 0.1664 0.5151 0.8817  3 Cr 2.53-2.54
Se3 0.3336 0.4849 0.3817  3 Cr 2.53-2.54
Se4 0.5000 0.0001 0.1586  3 Cr 2.53-2.55
Se5 0.6664 0.4849 0.3817  3 Cr 2.53-2.54
Se6 0.8336 0.5151 0.8817  3 Cr 2.53-2.54

---

No. 7
# CrTeSe

Crystalline CrTeSe at its relaxed geometry (PBE-GGA, the Alexandria database).

Output
The value obtained for the uncorrected formation energy is -334 meV per atom. As for the space-group type: No. 11.

Unit cell a=6.2367 b=3.5702 c=7.7648 alpha=90.00 beta=105.82 gamma=90.00
Closest atoms and distances in Å follow each position.
Positions (direct):
Cr1 0.2113 0.2500 0.0032  3 Se 2.44-2.48, 2 Te 2.72
Cr2 0.7887 0.7500 0.9968  3 Se 2.44-2.48, 2 Te 2.72
Te1 0.3536 0.7500 0.7937  3 Cr 2.72-2.74
Te2 0.6464 0.2500 0.2063  3 Cr 2.72-2.74
Se1 0.1579 0.7500 0.2097  3 Cr 2.44-2.48
Se2 0.8421 0.2500 0.7903  3 Cr 2.44-2.48

---

No. 8
# CrTe4Se

Crystalline CrTe4Se at its relaxed geometry (PBE-GGA, the Alexandria database).

Output
The value obtained for the uncorrected formation energy is 735 meV per atom. As for the space-group type: No. 216.

Unit cell a=6.2726 b=6.2726 c=6.2726 alpha=60.00 beta=60.00 gamma=60.00
Closest atoms and distances in Å follow each position.
Positions (direct):
Cr1 0.0000 0.0000 0.0000  12 Te 3.68, 4 Se 3.84
Te1 0.3755 0.3755 0.3755  6 Te 3.12-3.15
Te2 0.3755 0.3755 0.8734  6 Te 3.12-3.15
Te3 0.3755 0.8734 0.3755  6 Te 3.12-3.15
Te4 0.8734 0.3755 0.3755  6 Te 3.12-3.15
Se1 0.7500 0.7500 0.7500  12 Te 3.68, 4 Cr 3.84

---

| no. | total moment (μB per formula unit) |
| --- | --- |
| 1 | 2.29 |
| 2 | 2.36 |
| 3 | 2.28 |
| 4 | 3.46 |
| 5 | 3.77 |
| 6 | 2.19 |
| 7 | 2.21 |
| 8 | 3.50 |